Compound: TmHfTh
Source: OQMD
Functional: PBE
Structure: optimized geometry Values from VASP.

Geometry as Quantum ESPRESSO input:
```
&SYSTEM
  ibrav = 0, nat = 3, ntyp = 3
/
ATOMIC_SPECIES
Tm 168.93 Tm.upf
Hf 178.49 Hf.upf
Th 232.04 Th.upf
CELL_PARAMETERS angstrom
0.0000 3.6511 3.6511
3.6511 0.0000 3.6511
3.6511 3.6511 0.0000
ATOMIC_POSITIONS crystal
Tm 0.0000 0.0000 0.0000
Hf 0.7500 0.7500 0.7500
Th 0.5000 0.5000 0.5000
```

Its final energy is -19.53 eV for the cell shown. The value obtained for the formation energy from the elements is 770 meV/atom. For the density, the calculation gives 9885 kg/m³. For the energy above the lowest structure with this stoichiometry, the calculation gives 0 meV/atom. As for the space group: F-43m. Its total moment is 1.08 μB/f.u.